Density functional theory data (PBE+U) for a geometry-optimized Cs2B2MoO6 structure.

The uncorrected energy is -149.55 eV/cell. The calculation puts the theoretical density at 4252 kg/m3.

It has space group C2/m (No. 12), with a = 9.335 Å, b = 5.290 Å, c = 8.216 Å, α = 90.00°, β = 112.65° and γ = 90.00°. The asymmetric unit holds Cs at (0.221, 0.000, 0.162), B at (0.119, 0.500, 0.351), Mo at (0.000, 0.000, 0.500), O at (0.040, 0.274, 0.345) and O at (0.239, 0.000, 0.664).